Density functional theory data (PBE) for an optimized crystal structure of MgSc3C. Values from VASP.

Quantum ESPRESSO input file:
```
&SYSTEM
  ibrav = 0, nat = 10, ntyp = 3
/
ATOMIC_SPECIES
Sc 44.96 Sc.upf
C 12.01 C.upf
Mg 24.30 Mg.upf
ATOMIC_POSITIONS crystal
Sc 0.109 0.351 0.783
Sc 0.649 0.891 0.217
C 0.869 0.369 0.262
Sc 0.330 0.330 0.341
Sc 0.134 0.891 0.217
Sc 0.109 0.866 0.783
Sc 0.670 0.670 0.659
Mg 0.250 0.750 0.500
C 0.631 0.131 0.738
Mg 0.000 0.000 0.000
CELL_PARAMETERS angstrom
4.348 0.000 0.000
0.000 4.348 0.000
2.174 2.174 14.197
```

Properties
The value obtained for the energy above the most stable polymorph in this dataset is 7.13 eV per formula unit. The theoretical density is 2.118 g cm⁻³. The value obtained for the formation energy is 1.11 eV per atom.

***

Density functional theory data (PBE) for an optimized crystal structure of MgSc3C. Values from VASP.

Quantum ESPRESSO input file:
```
&SYSTEM
  ibrav = 0, nat = 20, ntyp = 3
/
ATOMIC_SPECIES
Sc 44.96 Sc.upf
C 12.01 C.upf
Mg 24.30 Mg.upf
ATOMIC_POSITIONS crystal
Sc 0.424 0.238 0.770
C 0.364 0.997 0.850
Mg 0.537 0.244 0.361
Sc 0.790 0.225 0.621
Sc 0.076 0.738 0.730
C 0.864 0.503 0.350
Sc 0.329 0.760 0.990
Mg 0.037 0.256 0.861
Sc 0.829 0.740 0.490
Sc 0.576 0.762 0.230
Sc 0.171 0.260 0.510
C 0.136 0.497 0.650
C 0.636 0.003 0.150
Sc 0.671 0.240 0.010
Sc 0.210 0.775 0.379
Mg 0.963 0.744 0.139
Sc 0.710 0.725 0.879
Sc 0.290 0.275 0.121
Mg 0.463 0.756 0.639
Sc 0.924 0.262 0.270
CELL_PARAMETERS angstrom
20.254 0.000 -2.579
0.000 5.429 0.000
-7.316 0.000 4.573
```

Properties
The value obtained for the energy above the most stable polymorph in this dataset is 0.74 eV per formula unit. The theoretical density is 2.840 g cm⁻³. The value obtained for the formation energy is -0.17 eV per atom.

***

Density functional theory data (PBE) for an optimized crystal structure of MgSc8C4. Values from VASP.

Quantum ESPRESSO input file:
```
&SYSTEM
  ibrav = 0, nat = 13, ntyp = 3
/
ATOMIC_SPECIES
Sc 44.96 Sc.upf
Mg 24.30 Mg.upf
C 12.01 C.upf
ATOMIC_POSITIONS crystal
Sc 0.810 0.349 0.032
Mg 0.516 0.002 0.967
Sc 0.222 0.655 0.902
Sc 0.879 0.680 0.562
Sc 0.474 0.355 0.696
Sc 0.152 0.323 0.372
C 0.367 0.831 0.435
C 0.665 0.172 0.499
C 0.850 0.508 0.792
Sc 0.852 0.983 0.313
Sc 0.180 0.020 0.621
Sc 0.557 0.648 0.237
C 0.181 0.496 0.142
CELL_PARAMETERS angstrom
-1.156 2.067 2.385
1.382 -4.512 6.950
7.174 4.004 2.376
```

Properties
The theoretical density is 3.102 g cm⁻³. The value obtained for the formation energy is -0.40 eV per atom.

***

Density functional theory data (PBE) for an optimized crystal structure of Mg2Sc2C. Values from VASP.

Quantum ESPRESSO input file:
```
&SYSTEM
  ibrav = 0, nat = 10, ntyp = 3
/
ATOMIC_SPECIES
Sc 44.96 Sc.upf
C 12.01 C.upf
Mg 24.30 Mg.upf
ATOMIC_POSITIONS crystal
Sc 0.185 0.315 0.000
C 0.500 0.500 0.000
Mg 0.341 0.159 0.500
Sc 0.315 0.815 0.000
Sc 0.815 0.685 0.000
Mg 0.159 0.659 0.500
Mg 0.841 0.341 0.500
Mg 0.659 0.841 0.500
Sc 0.685 0.185 0.000
C 0.000 0.000 0.000
CELL_PARAMETERS angstrom
-5.631 2.169 1.393
-2.486 -3.683 -4.314
-0.608 -3.996 3.762
```

Properties
The value obtained for the energy above the most stable polymorph in this dataset is 2.54 eV per formula unit. The theoretical density is 2.361 g cm⁻³. The value obtained for the formation energy is 0.22 eV per atom.

***

Density functional theory data (PBE) for an optimized crystal structure of MgSc3C. Values from VASP.

Quantum ESPRESSO input file:
```
&SYSTEM
  ibrav = 0, nat = 10, ntyp = 3
/
ATOMIC_SPECIES
Sc 44.96 Sc.upf
C 12.01 C.upf
Mg 24.30 Mg.upf
ATOMIC_POSITIONS crystal
Sc 0.629 0.880 0.240
C 0.250 0.750 0.500
Sc 0.131 0.880 0.240
Sc 0.120 0.869 0.760
Sc 0.120 0.371 0.760
C 0.000 0.000 0.000
Sc 0.631 0.631 0.739
Mg 0.878 0.378 0.245
Sc 0.369 0.369 0.261
Mg 0.622 0.122 0.755
CELL_PARAMETERS angstrom
-1.511 -5.087 3.276
5.769 -2.229 -0.800
3.800 -1.059 6.046
```

Properties
The value obtained for the energy above the most stable polymorph in this dataset is 2.44 eV per formula unit. The theoretical density is 2.558 g cm⁻³. The value obtained for the formation energy is 0.17 eV per atom.

***

Density functional theory data (PBE) for an optimized crystal structure of MgSc3C. Values from VASP.

Quantum ESPRESSO input file:
```
&SYSTEM
  ibrav = 0, nat = 10, ntyp = 3
/
ATOMIC_SPECIES
Sc 44.96 Sc.upf
C 12.01 C.upf
Mg 24.30 Mg.upf
ATOMIC_POSITIONS crystal
Sc 0.998 0.502 0.750
C 0.250 0.250 0.250
Sc 0.002 0.498 0.250
Mg 0.000 0.000 0.000
Sc 0.250 0.002 0.498
Sc 0.750 0.998 0.502
Sc 0.498 0.250 0.002
Sc 0.502 0.750 0.998
Mg 0.500 0.500 0.500
C 0.750 0.750 0.750
CELL_PARAMETERS angstrom
-4.828 -0.103 3.379
-1.540 -4.887 -2.912
3.215 -2.975 3.943
```

Properties
The value obtained for the energy above the most stable polymorph in this dataset is 2.21 eV per formula unit. The theoretical density is 2.790 g cm⁻³. The value obtained for the formation energy is 0.12 eV per atom.

***

Q: What is the theoretical density in the fourth record?
A: 2.361 g cm⁻³

***

Q: Which of these has the highest theoretical density?
A: MgSc8C4

***

Q: Which of these has the highest theoretical density?
A: MgSc8C4

***

Q: Which of these has the highest theoretical density?
A: MgSc8C4